No. 1
This record from the Alexandria database describes a relaxed MgPtW crystal. The functional is GGA-PBE.

Output
Size of the total moment, μB/atom: 0.000
E above lowest polymorph, meV/atom: 78
Space-group type: Pnma (62)
Energy relative to the elements, eV/atom: -0.20

abc: 7.878 3.189 8.400
angles: 90.00 90.00 90.00
Fractional positions:
Mg (0.941, 0.250, 0.840)
Pt (0.732, 0.750, 0.649)
Mg (0.059, 0.750, 0.160)
W (0.893, 0.250, 0.443)
W (0.393, 0.250, 0.057)
W (0.107, 0.750, 0.557)
W (0.607, 0.750, 0.943)
Pt (0.232, 0.750, 0.851)
Mg (0.441, 0.250, 0.660)
Mg (0.559, 0.750, 0.340)
Pt (0.268, 0.250, 0.351)
Pt (0.768, 0.250, 0.149)

No. 2
This record from the Alexandria database describes a relaxed MgPtW crystal. The functional is GGA-PBE.

Output
Size of the total moment, μB/atom: 0.000
E above lowest polymorph, meV/atom: 46
Space-group type: P2_1/m (11)
Energy relative to the elements, eV/atom: -0.23

abc: 4.428 7.342 3.105
angles: 90.00 90.00 78.03
Fractional positions:
W (0.891, 0.900, 0.470)
Pt (0.297, 0.233, 0.470)
Mg (0.481, 0.579, 0.470)
W (0.382, 0.931, 0.970)
Pt (0.976, 0.597, 0.970)
Mg (0.792, 0.252, 0.970)

No. 3
This record from the Alexandria database describes a relaxed Mg2PtW crystal. The functional is GGA-PBE.

Output
Size of the total moment, μB/atom: 0.000
E above lowest polymorph, meV/atom: 152
Space-group type: R-3m (166)
Energy relative to the elements, eV/atom: 0.01

abc: 9.421 9.421 9.421
angles: 17.68 17.68 17.68
Fractional positions:
Mg (0.004, 0.004, 0.004)
Pt (0.750, 0.750, 0.750)
W (0.250, 0.250, 0.250)
Mg (0.496, 0.496, 0.496)

No. 4
This record from the Alexandria database describes a relaxed MgPtW crystal. The functional is GGA-PBE.

Output
Size of the total moment, μB/atom: 0.000
E above lowest polymorph, meV/atom: 76
Space-group type: P2_1/m (11)
Energy relative to the elements, eV/atom: -0.20

abc: 2.797 4.015 9.174
angles: 90.00 72.38 90.00
Fractional positions:
Mg (0.036, 0.902, 0.322)
Mg (0.725, 0.402, 0.131)
W (0.054, 0.402, 0.802)
Pt (0.377, 0.902, 0.980)
Pt (0.385, 0.402, 0.473)
W (0.709, 0.902, 0.651)

No. 5
This record from the Alexandria database describes a relaxed Mg2PtW crystal. The functional is GGA-PBE.

Output
Size of the total moment, μB/atom: 0.000
E above lowest polymorph, meV/atom: 158
Space-group type: C2/m (12)
Energy relative to the elements, eV/atom: 0.01

abc: 5.258 5.404 2.762
angles: 79.50 81.33 116.61
Fractional positions:
Mg (0.000, 0.000, 0.000)
Pt (0.000, 0.500, 0.500)
W (0.500, 0.500, 0.000)
Mg (0.500, 0.000, 0.500)

No. 6
This record from the Alexandria database describes a relaxed Y6MgPt crystal. The functional is GGA-PBE.

Output
Size of the total moment, μB/atom: 0.000
Space-group type: P-1 (2)
Energy relative to the elements, eV/atom: -0.07

abc: 7.063 7.069 7.313
angles: 61.14 61.18 59.99
Fractional positions:
Mg (0.500, 0.500, 0.500)
Y (0.965, 0.570, 0.247)
Pt (0.000, 0.000, 0.000)
Y (0.570, 0.217, 0.247)
Y (0.430, 0.783, 0.753)
Y (0.783, 0.034, 0.753)
Y (0.217, 0.966, 0.247)
Y (0.035, 0.430, 0.753)

No. 7
This record from the Alexandria database describes a relaxed YMg2Pt crystal. The functional is GGA-PBE.

Output
Size of the total moment, μB/atom: 0.000
Space-group type: Immm (71)
Energy relative to the elements, eV/atom: -0.54

abc: 6.179 6.179 6.179
angles: 149.06 132.54 57.74
Fractional positions:
Y (0.250, 0.750, 0.500)
Pt (0.750, 0.250, 0.500)
Mg (0.544, 0.544, 0.000)
Mg (0.956, 0.956, 0.000)

No. 8
This record from the Alexandria database describes a relaxed YMg2Pt crystal. The functional is GGA-PBE.

Output
Size of the total moment, μB/atom: 0.086
Space-group type: P4/mmm (123)
Energy relative to the elements, eV/atom: -0.45

abc: 3.336 3.336 7.714
angles: 90.00 90.00 90.00
Fractional positions:
Mg (0.000, 0.000, 0.063)
Y (0.500, 0.500, 0.750)
Mg (0.000, 0.000, 0.437)
Pt (0.500, 0.500, 0.250)

No. 9
This record from the Alexandria database describes a relaxed Y3Mg2Pt3 crystal. The functional is GGA-PBE.

Output
Size of the total moment, μB/atom: 0.000
Space-group type: P6_3/mcm (193)
Energy relative to the elements, eV/atom: -1.01

abc: 5.765 8.385 8.385
angles: 120.00 90.00 90.00
Fractional positions:
Pt (0.250, 0.612, 0.612)
Y (0.250, 0.270, 0.270)
Pt (0.750, 0.388, 0.388)
Y (0.750, 0.730, 0.730)
Pt (0.750, 0.000, 0.612)
Mg (0.000, 0.333, 0.667)
Pt (0.250, 0.388, 0.000)
Y (0.250, 0.730, 0.000)
Pt (0.750, 0.612, 0.000)
Pt (0.250, 0.000, 0.388)
Y (0.750, 0.270, 0.000)
Y (0.750, 0.000, 0.270)
Mg (0.500, 0.333, 0.667)
Mg (0.000, 0.667, 0.333)
Y (0.250, 0.000, 0.730)
Mg (0.500, 0.667, 0.333)

No. 10
This record from the Alexandria database describes a relaxed YMg2Pt crystal. The functional is GGA-PBE.

Output
Size of the total moment, μB/atom: 0.000
Space-group type: C2/m (12)
Energy relative to the elements, eV/atom: -0.32

abc: 6.181 6.181 3.341
angles: 75.26 75.26 124.00
Fractional positions:
Mg (0.500, 0.500, 0.000)
Y (0.000, 0.500, 0.500)
Mg (0.000, 0.000, 0.000)
Pt (0.500, 0.000, 0.500)

No. 11
This record from the Alexandria database describes a relaxed YMg2Pt crystal. The functional is GGA-PBE.

Output
Size of the total moment, μB/atom: 0.000
Space-group type: Pm (6)
Energy relative to the elements, eV/atom: -0.57

abc: 3.824 3.975 6.499
angles: 72.75 90.00 90.00
Fractional positions:
Mg (0.000, 0.057, 0.012)
Pt (0.000, 0.282, 0.556)
Mg (0.500, 0.442, 0.245)
Y (0.500, 0.719, 0.687)

No. 12
This record from the Alexandria database describes a relaxed YMg2Pt crystal. The functional is GGA-PBE.

Output
Size of the total moment, μB/atom: 0.000
Space-group type: I-4m2 (119)
Energy relative to the elements, eV/atom: -0.57

abc: 4.884 4.884 4.884
angles: 119.97 119.90 90.11
Fractional positions:
Pt (0.500, 0.500, 0.000)
Mg (0.000, 0.000, 0.000)
Mg (0.750, 0.250, 0.500)
Y (0.250, 0.750, 0.500)

> Among the records above, which one has the highest size of the total moment?

number 8

> Among the records above, which one has the lowest energy relative to the elements?

Y3Mg2Pt3